(1)
DFT (PBE) results for a geometry-optimized TmBe2BIr structure.

Geometry as CIF:
```
data_TmBe2BIr
_chemical_formula_sum 'Tm1 Be2 B1 Ir1'
_space_group_name_H-M_alt 'P 1'
_space_group_IT_number 1
_cell_length_a 3.528
_cell_length_b 3.641
_cell_length_c 5.510
_cell_angle_alpha 109.29
_cell_angle_beta 108.67
_cell_angle_gamma 90.00
loop_
_space_group_symop_operation_xyz
'x,y,z'
loop_
_atom_site_label
_atom_site_type_symbol
_atom_site_fract_x
_atom_site_fract_y
_atom_site_fract_z
Tm1 Tm 0.436 0.436 0.871
Be1 Be 0.702 0.202 0.404
Be2 Be 0.054 0.054 0.107
B1 B 0.825 0.825 0.650
Ir1 Ir 0.196 0.696 0.392
```


(2)
DFT (PBE) results for a geometry-optimized NpAgAu2 structure.

Geometry as CIF:
```
data_NpAgAu2
_chemical_formula_sum 'Np1 Ag1 Au2'
_space_group_name_H-M_alt 'P 1'
_space_group_IT_number 1
_cell_length_a 4.940
_cell_length_b 4.940
_cell_length_c 4.940
_cell_angle_alpha 60.00
_cell_angle_beta 60.00
_cell_angle_gamma 60.00
loop_
_space_group_symop_operation_xyz
'x,y,z'
loop_
_atom_site_label
_atom_site_type_symbol
_atom_site_fract_x
_atom_site_fract_y
_atom_site_fract_z
Np1 Np 0.000 0.000 0.000
Au1 Au 0.250 0.250 0.250
Au2 Au 0.750 0.750 0.750
Ag1 Ag 0.500 0.500 0.500
```

Calculated values
Energy above the most stable polymorph in this dataset, meV per atom: 0


(3)
DFT (PBE) results for a geometry-optimized Be3TlB structure.

Geometry as CIF:
```
data_Be3TlB
_chemical_formula_sum 'Be3 Tl1 B1'
_space_group_name_H-M_alt 'P 1'
_space_group_IT_number 1
_cell_length_a 4.517
_cell_length_b 4.517
_cell_length_c 4.517
_cell_angle_alpha 90.00
_cell_angle_beta 90.00
_cell_angle_gamma 90.00
loop_
_space_group_symop_operation_xyz
'x,y,z'
loop_
_atom_site_label
_atom_site_type_symbol
_atom_site_fract_x
_atom_site_fract_y
_atom_site_fract_z
Be1 Be 0.000 0.500 0.000
Be2 Be 0.000 0.000 0.500
Be3 Be 0.500 0.000 0.000
Tl1 Tl 0.000 0.000 0.000
B1 B 0.500 0.500 0.500
```

Calculated values
Energy above the most stable polymorph in this dataset, meV per atom: 1437


Number 1: energy -29.72 eV for the cell shown, ΔH_f (0 K) -0.45 eV per atom. Number 2: energy -22.67 eV for the cell shown, ΔH_f (0 K) -0.08 eV per atom. Number 3: energy -10.25 eV for the cell shown, ΔH_f (0 K) 1.99 eV per atom.